1.
Computed, not measured: a relaxed structure of Ga3NiPt at the GGA-PBE level of DFT.

Unit cell a=4.7832 b=4.7832 c=4.7832 alpha=90.00 beta=90.00 gamma=90.00
Closest atoms and distances in Å follow each position.
Sites, in units of the cell vectors:
Ni  0.5000  0.5000  0.5000  12 Ga 3.38
Ga  0.0000  0.5000  0.0000  2 Pt 2.39
Ga  0.0000  0.0000  0.5000  2 Pt 2.39
Ga  0.5000  0.0000  0.0000  2 Pt 2.39
Pt  0.0000  0.0000  0.0000  6 Ga 2.39

Properties
The calculation puts the density at 7025 kg/m³. The value obtained for the offset from the most stable computed form is 3.57 eV/f.u. The formation energy comes out at 0.27 eV per atom. Its electronic total energy is -3.909 eV/atom. The crystal system is cubic.

2.
Computed, not measured: a relaxed structure of BaScCl4 at the GGA-PBE level of DFT.

Unit cell a=6.1082 b=6.1082 c=6.1082 alpha=60.00 beta=60.00 gamma=60.00
Closest atoms and distances in Å follow each position.
Sites, in units of the cell vectors:
Ba  0.0000  0.0000  0.0000  12 Cl 3.58, 4 Sc 3.74
Sc  0.7500  0.7500  0.7500  12 Cl 3.58, 4 Ba 3.74
Cl  0.8737  0.3754  0.3754  6 Cl 3.04-3.06
Cl  0.3754  0.3754  0.8737  6 Cl 3.04-3.06
Cl  0.3754  0.8737  0.3754  6 Cl 3.04-3.06
Cl  0.3754  0.3754  0.3754  6 Cl 3.04-3.06

Properties
The calculation puts the density at 3340 kg/m³. Its electronic total energy is -3.224 eV/atom. The crystal system is cubic. The formation energy without anion corrections comes out at -0.617 eV per atom.

3.
Computed, not measured: a relaxed structure of TaCl at the GGA-PBE level of DFT.

Unit cell a=12.5689 b=3.3263 c=6.1100 alpha=90.00 beta=90.00 gamma=90.00
Closest atoms and distances in Å follow each position.
Sites, in units of the cell vectors:
Ta  0.8909  0.0000  0.4154  4 Cl 2.56-2.68, 3 Ta 2.69-2.74
Ta  0.1091  0.0000  0.4154  4 Cl 2.56-2.68, 3 Ta 2.69-2.74
Ta  0.3909  0.5000  0.9154  4 Cl 2.56-2.68, 3 Ta 2.69-2.74
Ta  0.6091  0.5000  0.9154  4 Cl 2.56-2.68, 3 Ta 2.69-2.74
Ta  0.0000  0.5000  0.6775  4 Ta 2.69, 2 Cl 2.87
Ta  0.5000  0.0000  0.1775  4 Ta 2.69, 2 Cl 2.87
Cl  0.7456  0.0000  0.7165  3 Ta 2.59-2.68
Cl  0.2544  0.0000  0.7165  3 Ta 2.59-2.68
Cl  0.2456  0.5000  0.2165  3 Ta 2.59-2.68
Cl  0.7544  0.5000  0.2165  3 Ta 2.59-2.68
Cl  0.0000  0.0000  0.0608  2 Ta 2.56
Cl  0.5000  0.5000  0.5608  2 Ta 2.56

Properties
The calculation puts the density at 8440 kg/m³. Its electronic total energy is -7.170 eV/atom. The crystal system is orthorhombic. The formation energy without anion corrections comes out at -0.320 eV per atom.

4.
Computed, not measured: a relaxed structure of AcPuHg2O6 at the GGA-PBE level of DFT.

Unit cell a=5.9705 b=5.9702 c=6.4726 alpha=62.53 beta=62.53 gamma=60.00
Closest atoms and distances in Å follow each position.
Sites, in units of the cell vectors:
Ac  0.8162  0.8161  0.5515  6 O 2.51
Pu  0.3161  0.3162  0.0515  6 O 2.16
Hg  0.5757  0.5755  0.2731  3 O 2.21
Hg  0.0566  0.0567  0.8300  3 O 2.21
O  0.5442  0.2173  0.2810  1 Pu 2.16, 1 Hg 2.21
O  0.2174  0.9574  0.2811  1 Pu 2.16, 1 Hg 2.21
O  0.9574  0.5442  0.2810  1 Pu 2.16, 1 Hg 2.21
O  0.4149  0.6749  0.8221  1 Pu 2.16, 1 Hg 2.21
O  0.6748  0.0883  0.8219  1 Pu 2.16, 1 Hg 2.21
O  0.0883  0.4149  0.8220  1 Pu 2.16, 1 Hg 2.21

Properties
The calculation puts the density at 9507 kg/m³. Its electronic total energy is -6.772 eV/atom. The crystal system is trigonal. The formation energy without anion corrections comes out at -1.893 eV per atom.

5.
Computed, not measured: a relaxed structure of YMnAl at the GGA-PBE level of DFT.

Unit cell a=3.2743 b=3.2743 c=6.7484 alpha=90.00 beta=90.00 gamma=120.00
Closest atoms and distances in Å follow each position.
Sites, in units of the cell vectors:
Y  0.3333  0.6667  0.6599  3 Mn 3.03, 3 Al 3.14, 6 Y 3.27
Mn  0.6667  0.3333  0.3081  3 Al 2.65
Al  0.0000  0.0000  0.0320  3 Mn 2.65

Properties
The calculation puts the density at 4527 kg/m³. The formation energy comes out at 0.24 eV per atom. Its electronic total energy is -6.220 eV/atom. The crystal system is trigonal.

6.
Computed, not measured: a relaxed structure of CsCaH2SeF at the GGA-PBE level of DFT.

Unit cell a=4.1345 b=4.1356 c=7.6133 alpha=91.45 beta=91.82 gamma=90.05
Closest atoms and distances in Å follow each position.
Sites, in units of the cell vectors:
Cs  0.1341  0.4594  0.1074  4 F 3.06-3.09, 3 H 3.13-3.38
Ca  0.6069  0.9375  0.6918  1 F 2.20
H  0.6293  0.9613  0.3358  1 H 0.76
H  0.7452  0.0815  0.3826  1 H 0.76
Se  0.1054  0.4370  0.6232  1 H 2.72, 4 Ca 2.95-2.98
F  0.6238  0.9502  0.9813  1 Ca 2.20

Properties
The calculation puts the density at 3485 kg/m³. The value obtained for the offset from the most stable computed form is 0.00 eV/f.u. Its electronic total energy is -4.038 eV/atom. The crystal system is triclinic.

7.
Computed, not measured: a relaxed structure of Dy8Tl2Cd at the GGA-PBE level of DFT.

Unit cell a=5.5748 b=8.6570 c=8.6570 alpha=118.63 beta=102.29 gamma=102.29
Closest atoms and distances in Å follow each position.
Sites, in units of the cell vectors:
Dy  0.8881  0.9013  0.6733  2 Tl 3.11-3.31, 4 Dy 3.40-3.48
Dy  0.8881  0.6733  0.9013  2 Tl 3.11-3.31, 4 Dy 3.40-3.48
Dy  0.3033  0.6045  0.6045  4 Dy 3.10-3.42, 1 Cd 3.20, 2 Tl 3.31
Dy  0.5000  0.7848  0.2152  2 Tl 3.08, 1 Cd 3.20
Dy  0.5000  0.2152  0.7848  2 Tl 3.08, 1 Cd 3.20
Dy  0.6967  0.3955  0.3955  4 Dy 3.10-3.42, 1 Cd 3.20, 2 Tl 3.31
Dy  0.1119  0.3267  0.0987  2 Tl 3.11-3.31, 4 Dy 3.40-3.48
Dy  0.1119  0.0987  0.3267  2 Tl 3.11-3.31, 4 Dy 3.40-3.48
Tl  0.0000  0.3038  0.6962  8 Dy 3.08-3.31
Tl  0.0000  0.6962  0.3038  8 Dy 3.08-3.31
Cd  0.5000  0.0000  0.0000  8 Dy 3.20-3.56

Properties
The calculation puts the density at 9074 kg/m³. The value obtained for the offset from the most stable computed form is 1.40 eV/f.u. The formation energy comes out at -0.05 eV per atom. Its electronic total energy is -3.912 eV/atom. The crystal system is monoclinic.

8.
Computed, not measured: a relaxed structure of MgAgSCl2 at the GGA-PBE level of DFT.

Unit cell a=4.8756 b=4.8756 c=5.1080 alpha=90.00 beta=90.00 gamma=90.00
Closest atoms and distances in Å follow each position.
Sites, in units of the cell vectors:
S  0.0000  0.0000  0.5000  2 Ag 2.55
Mg  0.5000  0.5000  0.5000  4 S 3.45, 8 Cl 3.53
Ag  0.0000  0.0000  0.0000  4 Cl 2.44, 2 S 2.55
Cl  0.0000  0.5000  0.0000  2 Ag 2.44
Cl  0.5000  0.0000  0.0000  2 Ag 2.44

Properties
The calculation puts the density at 3216 kg/m³. The value obtained for the offset from the most stable computed form is 1.64 eV/f.u. Its electronic total energy is -2.644 eV/atom. The crystal system is tetragonal. The formation energy without anion corrections comes out at -0.190 eV per atom.

9.
Computed, not measured: a relaxed structure of Li3SbH at the GGA-PBE level of DFT.

Unit cell a=4.1521 b=4.1521 c=4.1521 alpha=90.00 beta=90.00 gamma=90.00
Closest atoms and distances in Å follow each position.
Sites, in units of the cell vectors:
Sb  0.5000  0.5000  0.5000  12 Li 2.94
H  0.0000  0.0000  0.0000  6 Li 2.08
Li  0.0000  0.5000  0.0000  2 H 2.08
Li  0.0000  0.0000  0.5000  2 H 2.08
Li  0.5000  0.0000  0.0000  2 H 2.08

Properties
The calculation puts the density at 3331 kg/m³. The value obtained for the offset from the most stable computed form is 0.00 eV/f.u. Its electronic total energy is -3.096 eV/atom. The crystal system is cubic.

10.
Computed, not measured: a relaxed structure of MgUSe2 at the GGA-PBE level of DFT.

Unit cell a=3.7582 b=3.7582 c=7.7501 alpha=75.97 beta=75.97 gamma=60.00
Closest atoms and distances in Å follow each position.
Sites, in units of the cell vectors:
Mg  0.4993  0.4993  0.5021  6 Se 2.76-2.79
U  0.6666  0.6666  0.0003  6 Se 2.94-2.95
Se  0.0895  0.0895  0.7315  3 Mg 2.76, 3 U 2.95
Se  0.2446  0.2446  0.2661  3 Mg 2.79, 3 U 2.94

Properties
The calculation puts the density at 7668 kg/m³. The value obtained for the offset from the most stable computed form is 0.00 eV/f.u. Its electronic total energy is -5.886 eV/atom. The crystal system is trigonal. The formation energy without anion corrections comes out at -0.923 eV per atom.

11.
Computed, not measured: a relaxed structure of Pm6SiSn5 at the GGA-PBE level of DFT.

Unit cell a=7.8657 b=8.2718 c=7.0697 alpha=54.20 beta=82.85 gamma=77.72
Closest atoms and distances in Å follow each position.
Sites, in units of the cell vectors:
Pm  0.7768  0.0579  0.3278  1 Si 2.93, 4 Sn 3.17-3.25
Pm  0.2232  0.6143  0.3278  1 Si 2.93, 4 Sn 3.17-3.25
Pm  0.2731  0.2083  0.0000  1 Si 3.03, 5 Sn 3.24-3.29
Pm  0.7269  0.7917  0.0000  1 Si 3.03, 5 Sn 3.24-3.29
Pm  0.7768  0.3857  0.6722  1 Si 2.93, 4 Sn 3.17-3.25
Pm  0.2232  0.9421  0.6722  1 Si 2.93, 4 Sn 3.17-3.25
Si  0.0000  0.0000  0.0000  6 Pm 2.93-3.03
Sn  0.5000  0.2073  0.5854  6 Pm 3.17-3.24, 1 Sn 3.36
Sn  0.0000  0.3682  0.2636  1 Sn 3.02, 6 Pm 3.20-3.25
Sn  0.5000  0.5000  0.0000  6 Pm 3.29-3.38, 2 Sn 3.36
Sn  0.0000  0.6318  0.7364  1 Sn 3.02, 6 Pm 3.20-3.25
Sn  0.5000  0.7927  0.4146  6 Pm 3.17-3.24, 1 Sn 3.36

Properties
The calculation puts the density at 6795 kg/m³. Its electronic total energy is -5.094 eV/atom. The crystal system is monoclinic. The formation energy without anion corrections comes out at -0.599 eV per atom.

12.
Computed, not measured: a relaxed structure of Tm3Ga2Pd6 at the GGA-PBE level of DFT.

Unit cell a=8.1656 b=8.1656 c=8.1656 alpha=109.47 beta=109.47 gamma=109.47
Closest atoms and distances in Å follow each position.
Sites, in units of the cell vectors:
Tm  0.7034  0.0000  0.7034  8 Pd 2.96-3.13
Tm  0.2966  0.0000  0.2966  8 Pd 2.96-3.13
Tm  0.0000  0.2966  0.2966  8 Pd 2.96-3.13
Tm  0.0000  0.7034  0.7034  8 Pd 2.96-3.13
Tm  0.2966  0.2966  0.0000  8 Pd 2.96-3.13
Tm  0.7034  0.7034  0.0000  8 Pd 2.96-3.13
Ga  0.0000  0.5000  0.0000  6 Pd 2.59
Ga  0.5000  0.0000  0.0000  6 Pd 2.59
Ga  0.0000  0.0000  0.5000  6 Pd 2.59
Ga  0.5000  0.5000  0.5000  6 Pd 2.59
Pd  0.6693  0.3386  0.6693  2 Ga 2.59, 4 Pd 2.72
Pd  0.6693  0.0000  0.3307  2 Ga 2.59, 4 Pd 2.72
Pd  0.3307  0.0000  0.6693  2 Ga 2.59, 4 Pd 2.72
Pd  0.3307  0.6614  0.3307  2 Ga 2.59, 4 Pd 2.72
Pd  0.0000  0.6693  0.3307  2 Ga 2.59, 4 Pd 2.72
Pd  0.6614  0.3307  0.3307  2 Ga 2.59, 4 Pd 2.72
Pd  0.3386  0.6693  0.6693  2 Ga 2.59, 4 Pd 2.72
Pd  0.0000  0.3307  0.6693  2 Ga 2.59, 4 Pd 2.72
Pd  0.3307  0.6693  0.0000  2 Ga 2.59, 4 Pd 2.72
Pd  0.6693  0.6693  0.3386  2 Ga 2.59, 4 Pd 2.72
Pd  0.3307  0.3307  0.6614  2 Ga 2.59, 4 Pd 2.72
Pd  0.6693  0.3307  0.0000  2 Ga 2.59, 4 Pd 2.72

Properties
The calculation puts the density at 10180 kg/m³. The value obtained for the offset from the most stable computed form is 0.00 eV/f.u. The formation energy comes out at -0.84 eV per atom. Its electronic total energy is -5.444 eV/atom. The crystal system is cubic.

> Number 12 is which compound?

Tm3Ga2Pd6

> Which formula does entry 7 have?

Dy8Tl2Cd

> Number 11 is which compound?

Pm6SiSn5

> Which of these has the highest electronic total energy?

MgAgSCl2